Record 1
# Tb13Er3, relaxed, DFT GGA-PBE
data_Tb13Er3
_symmetry_space_group_name_H-M 'A m m 2'
_symmetry_Int_Tables_number 38
_cell_length_a 10.009
_cell_length_b 10.029
_cell_length_c 10.031
_cell_angle_alpha 90.00
_cell_angle_beta 90.00
_cell_angle_gamma 90.00
loop_
_symmetry_equiv_pos_as_xyz
'x,y,z'
'-x,-y,z'
'-x,y,z'
'x,-y,z'
'x,y+1/2,z+1/2'
'-x,-y+1/2,z+1/2'
'-x,y+1/2,z+1/2'
'x,-y+1/2,z+1/2'
loop_
_atom_site_label
_atom_site_fract_x
_atom_site_fract_y
_atom_site_fract_z
Tb1 0.000 0.000 0.000
Tb2 0.000 0.000 0.499
Tb3 0.000 0.249 0.250
Tb4 0.250 0.250 0.000
Tb5 0.251 0.000 0.750
Tb6 0.500 0.000 0.499
Tb7 0.500 0.250 0.250
Er1 0.250 0.000 0.249
Er2 0.500 0.000 0.000
# - Final energy: -4.603 eV/atom
# - Spin magnetization: 0.00 μB/atom
# - Energy above the lowest structure with this stoichiometry: 0.3 kJ/mol of atoms
# - Energy relative to the elements: 0.33 kcal/mol of atoms

Record 2
# La2ZnGe, relaxed, DFT GGA-PBE
data_La2ZnGe
_symmetry_space_group_name_H-M 'P 4/m m m'
_symmetry_Int_Tables_number 123
_symmetry_space_group_name_Hall '-P 4 2'
_cell_length_a 5.143
_cell_length_b 5.143
_cell_length_c 3.980
_cell_angle_alpha 90.00
_cell_angle_beta 90.00
_cell_angle_gamma 90.00
loop_
_atom_site_label
_atom_site_fract_x
_atom_site_fract_y
_atom_site_fract_z
La1 0.000 0.500 0.000
Zn1 0.000 0.000 0.500
Ge1 0.500 0.500 0.500
# - Final energy: -4.485 eV/atom
# - Spin magnetization: 0.00 μB/atom
# - Energy relative to the elements: -12.65 kcal/mol of atoms

Q: Among the records above, which one has the highest final energy?
A: La2ZnGe

Q: Look up the spin magnetization of the first one.
A: 0.00 μB/atom